# Li2VFeO4

Crystalline Li2VFeO4 at its relaxed geometry (GGA+U, Alexandria via LeMat-Bulk).

- volume (A^3/atom) = 9.50
- E (eV/atom) = -6.511

Lattice parameters (Å, degrees): 5.180 6.009 7.888 79.24 71.22 89.91
Space group P-1 (No. 2)
Asymmetric unit:
Li (0.000, 0.080, 0.167) x2
Li (0.000, 0.410, 0.833) x2
Li (0.002, 0.754, 0.497) x2
V (0.499, 0.336, 0.167) x2
V (0.500, 0.500, 0.500) x1
Fe (0.498, 0.163, 0.833) x2
Fe (0.500, 0.000, 0.500) x1
O (0.269, 0.205, 0.663) x2
O (0.271, 0.045, 0.328) x2
O (0.271, 0.376, 0.995) x2
O (0.271, 0.876, 0.996) x2
O (0.272, 0.547, 0.329) x2
O (0.273, 0.709, 0.661) x2